A plane-wave DFT calculation with PBE was carried out for an optimized crystal structure of Pr2TlGe3Pd4.

```
Pr2TlGe3Pd4
1.0
4.383 0.000 0.000
0.000 4.383 0.000
0.000 0.000 10.693
Pr Tl Ge Pd
2 1 3 4
direct
0.000 0.500 0.239
0.500 0.000 0.761
0.000 0.000 0.500
0.000 0.500 0.879
0.500 0.000 0.121
0.500 0.500 0.500
0.000 0.000 0.000
0.000 0.500 0.651
0.500 0.000 0.349
0.500 0.500 0.000
```

Raw total energy, Ry per atom: -0.39406
Magnetization, μB/f.u.: 0.00
Space group: P-4m2